The following is a DFT calculation (PBE-GGA) of a relaxed structure of Ta2Ga2FeNi7.

VASP energy   -78.6 eV/cell
Magnetization   3.2 μB per cell
ΔH_f (0 K)   0.00 eV per atom

extended XYZ file:
```
12
Lattice="3.304 -0.002 0.009 0.002 3.303 0.009 1.613 1.611 14.682" Properties=species:S:1:pos:R:3 pbc="T T T"
Ta 3.276 3.272 10.807
Ta 1.642 1.640 3.893
Ga 3.290 3.286 5.594
Ga 1.628 1.626 9.106
Fe 0.000 0.000 0.000
Ni 1.653 1.651 0.009
Ni 1.634 1.632 6.638
Ni 3.284 3.280 8.061
Ni 3.299 1.644 1.934
Ni 1.648 3.297 1.934
Ni 3.270 1.615 12.766
Ni 1.619 3.268 12.766
```